1.
# TiBi2Ir | Alexandria | PBE | relaxed
data_TiBi2Ir
_cell_length_a 6.9863
_cell_length_b 6.9863
_cell_length_c 6.9863
_cell_angle_alpha 90.00
_cell_angle_beta 90.00
_cell_angle_gamma 90.00
_symmetry_space_group_name_H-M 'F m -3 m'
_symmetry_Int_Tables_number 225
_symmetry_space_group_name_Hall '-F 4 2 3'
loop_
_atom_site_label
_atom_site_fract_x
_atom_site_fract_y
_atom_site_fract_z
_atom_site_occupancy
Ti1 0.0000 0.0000 0.0000 1
Bi1 0.2500 0.2500 0.2500 1
Ir1 0.0000 0.0000 0.5000 1
# **ΔH_f (0 K)**: 260 meV per atom
# **Raw total energy**: -93.9 eV for the cell shown

=====

2.
# BaSn2Br6 | Alexandria | PBE | relaxed
data_BaSn2Br6
_cell_length_a 14.6430
_cell_length_b 5.7896
_cell_length_c 10.3573
_cell_angle_alpha 90.00
_cell_angle_beta 123.29
_cell_angle_gamma 90.00
_symmetry_space_group_name_H-M 'C 1 2/m 1'
_symmetry_Int_Tables_number 12
loop_
_symmetry_equiv_pos_as_xyz
'x,y,z'
'-x,-y,-z'
'-x,y,-z'
'x,-y,z'
'x+1/2,y+1/2,z'
'-x+1/2,-y+1/2,-z'
'-x+1/2,y+1/2,-z'
'x+1/2,-y+1/2,z'
loop_
_atom_site_label
_atom_site_fract_x
_atom_site_fract_y
_atom_site_fract_z
_atom_site_occupancy
Ba1 0.0000 0.0000 0.0000 1
Sn1 0.1917 0.0000 0.6399 1
Br1 0.0310 0.0000 0.7053 1
Br2 0.1420 0.5000 0.0447 1
Br3 0.2480 0.5000 0.6551 1
# **Raw total energy**: -61.9 eV for the cell shown
# **ΔE_f (raw)**: -1.220 eV per atom

=====

3.
# Cs2Tl16In | Alexandria | PBE | relaxed
data_Cs2Tl16In
_cell_length_a 11.5166
_cell_length_b 11.5166
_cell_length_c 17.1341
_cell_angle_alpha 90.00
_cell_angle_beta 90.00
_cell_angle_gamma 120.00
_symmetry_space_group_name_H-M 'R 3 m'
_symmetry_Int_Tables_number 160
_symmetry_space_group_name_Hall 'R 3 -2"'
loop_
_atom_site_label
_atom_site_fract_x
_atom_site_fract_y
_atom_site_fract_z
_atom_site_occupancy
Cs1 0.0000 0.0000 0.0000 1
Cs2 0.0000 0.0000 0.3215 1
Tl1 0.0000 0.0000 0.5642 1
Tl2 0.9998 0.2893 0.6604 1
Tl3 0.1671 0.3342 0.8461 1
Tl4 0.1680 0.3360 0.1405 1
Tl5 0.1698 0.3396 0.4943 1
In1 0.0000 0.0000 0.7553 1
# **ΔH_f (0 K)**: -30 meV per atom
# **Raw total energy**: -128.6 eV for the cell shown

=====

4.
# POsSeCl2 | Alexandria | PBE | relaxed
data_POsSeCl2
_cell_length_a 4.6991
_cell_length_b 4.6991
_cell_length_c 5.3254
_cell_angle_alpha 90.00
_cell_angle_beta 90.00
_cell_angle_gamma 90.00
_symmetry_space_group_name_H-M 'P 4/m m m'
_symmetry_Int_Tables_number 123
_symmetry_space_group_name_Hall '-P 4 2'
loop_
_atom_site_label
_atom_site_fract_x
_atom_site_fract_y
_atom_site_fract_z
_atom_site_occupancy
P1 0.0000 0.0000 0.0000 1
Os1 0.5000 0.5000 0.0000 1
Se1 0.0000 0.0000 0.5000 1
Cl1 0.0000 0.5000 0.5000 1
# **Raw total energy**: -15.8 eV for the cell shown
# **ΔE_f (raw)**: 1.599 eV per atom

=====

5.
# PmTmZr | Alexandria | PBE | relaxed
data_PmTmZr
_cell_length_a 3.7669
_cell_length_b 3.7669
_cell_length_c 12.5356
_cell_angle_alpha 90.00
_cell_angle_beta 90.00
_cell_angle_gamma 90.00
_symmetry_space_group_name_H-M 'P 4/n m m'
_symmetry_Int_Tables_number 129
loop_
_symmetry_equiv_pos_as_xyz
'x,y,z'
'-x,-y,-z'
'-y+1/2,x,z'
'y+1/2,-x,-z'
'-x+1/2,-y+1/2,z'
'x+1/2,y+1/2,-z'
'y,-x+1/2,z'
'-y,x+1/2,-z'
'x+1/2,-y,-z'
'-x+1/2,y,z'
'-y,-x,-z'
'y,x,z'
'-x,y+1/2,-z'
'x,-y+1/2,z'
'y+1/2,x+1/2,-z'
'-y+1/2,-x+1/2,z'
loop_
_atom_site_label
_atom_site_fract_x
_atom_site_fract_y
_atom_site_fract_z
_atom_site_occupancy
Pm1 0.2500 0.2500 0.0978 1
Tm1 0.2500 0.2500 0.7055 1
Zr1 0.2500 0.2500 0.4480 1
# **ΔH_f (0 K)**: 68 meV per atom
# **Raw total energy**: -35.1 eV for the cell shown

=====

6.
# Rb2SmGeS4 | Alexandria | PBE | relaxed
data_Rb2SmGeS4
_cell_length_a 6.6652
_cell_length_b 14.4316
_cell_length_c 24.8333
_cell_angle_alpha 90.00
_cell_angle_beta 90.00
_cell_angle_gamma 90.00
_symmetry_space_group_name_H-M 'F d d d'
_symmetry_Int_Tables_number 70
loop_
_symmetry_equiv_pos_as_xyz
'x,y,z'
'-x,-y,-z'
'-x+1/4,-y+1/4,z'
'x+1/4,y+1/4,-z'
'x,-y+1/4,-z+1/4'
'-x,y+1/4,z+1/4'
'-x+1/4,y,-z+1/4'
'x+1/4,-y,z+1/4'
'x,y+1/2,z+1/2'
'-x,-y+1/2,-z+1/2'
'-x+1/4,-y+3/4,z+1/2'
'x+1/4,y+3/4,-z+1/2'
'x,-y+3/4,-z+3/4'
'-x,y+3/4,z+3/4'
'-x+1/4,y+1/2,-z+3/4'
'x+1/4,-y+1/2,z+3/4'
'x+1/2,y,z+1/2'
'-x+1/2,-y,-z+1/2'
'-x+3/4,-y+1/4,z+1/2'
'x+3/4,y+1/4,-z+1/2'
'x+1/2,-y+1/4,-z+3/4'
'-x+1/2,y+1/4,z+3/4'
'-x+3/4,y,-z+3/4'
'x+3/4,-y,z+3/4'
'x+1/2,y+1/2,z'
'-x+1/2,-y+1/2,-z'
'-x+3/4,-y+3/4,z'
'x+3/4,y+3/4,-z'
'x+1/2,-y+3/4,-z+1/4'
'-x+1/2,y+3/4,z+1/4'
'-x+3/4,y+1/2,-z+1/4'
'x+3/4,-y+1/2,z+1/4'
loop_
_atom_site_label
_atom_site_fract_x
_atom_site_fract_y
_atom_site_fract_z
_atom_site_occupancy
Rb1 0.1250 0.1250 0.3097 1
Sm1 0.1250 0.1250 0.1250 1
Ge1 0.1250 0.1250 0.6250 1
S1 0.0962 0.2780 0.8251 1
# **Raw total energy**: -288.1 eV for the cell shown
# **ΔE_f (raw)**: -1.028 eV per atom

=====

7.
# Fe5SiB2Mo2 | Alexandria | PBE | relaxed
data_Fe5SiB2Mo2
_cell_length_a 8.6691
_cell_length_b 8.6691
_cell_length_c 2.7508
_cell_angle_alpha 90.00
_cell_angle_beta 90.00
_cell_angle_gamma 90.00
_symmetry_space_group_name_H-M 'P 4/m b m'
_symmetry_Int_Tables_number 127
_symmetry_space_group_name_Hall '-P 4 2ab'
loop_
_atom_site_label
_atom_site_fract_x
_atom_site_fract_y
_atom_site_fract_z
_atom_site_occupancy
Fe1 0.0000 0.5000 0.0000 1
Fe2 0.0636 0.2125 0.0000 1
Si1 0.0000 0.0000 0.5000 1
B1 0.1233 0.3767 0.5000 1
Mo1 0.1779 0.6779 0.5000 1
# **Raw total energy**: -173.0 eV for the cell shown
# **ΔE_f (raw)**: -0.377 eV per atom

=====

8.
# Hf2Be3Si | Alexandria | PBE | relaxed
data_Hf2Be3Si
_cell_length_a 3.4542
_cell_length_b 3.7021
_cell_length_c 6.4086
_cell_angle_alpha 90.00
_cell_angle_beta 90.00
_cell_angle_gamma 90.00
_symmetry_space_group_name_H-M 'P m m 2'
_symmetry_Int_Tables_number 25
loop_
_symmetry_equiv_pos_as_xyz
'x,y,z'
'-x,-y,z'
'-x,y,z'
'x,-y,z'
loop_
_atom_site_label
_atom_site_fract_x
_atom_site_fract_y
_atom_site_fract_z
_atom_site_occupancy
Hf1 0.0000 0.0000 0.0000 1
Hf2 0.0000 0.5000 0.4903 1
Be1 0.5000 0.0000 0.3259 1
Be2 0.5000 0.0000 0.6532 1
Be3 0.5000 0.5000 0.1698 1
Si1 0.5000 0.5000 0.8301 1
# **Raw total energy**: -39.1 eV for the cell shown
# **ΔE_f (raw)**: -0.437 eV per atom

=====

9.
# AcDyMg2In4 | Alexandria | PBE | relaxed
data_AcDyMg2In4
_cell_length_a 4.8822
_cell_length_b 4.8822
_cell_length_c 32.3149
_cell_angle_alpha 90.00
_cell_angle_beta 90.00
_cell_angle_gamma 120.00
_symmetry_space_group_name_H-M 'R -3 m'
_symmetry_Int_Tables_number 166
_symmetry_space_group_name_Hall '-R 3 2"'
loop_
_atom_site_label
_atom_site_fract_x
_atom_site_fract_y
_atom_site_fract_z
_atom_site_occupancy
Ac1 0.0000 0.0000 0.0000 1
Dy1 0.0000 0.0000 0.5000 1
Mg1 0.0000 0.0000 0.2426 1
In1 0.0000 0.0000 0.1207 1
In2 0.0000 0.0000 0.3953 1
# **ΔH_f (0 K)**: -301 meV per atom
# **Raw total energy**: -75.8 eV for the cell shown

=====

10.
# AsPC2 | Alexandria | PBE | relaxed
data_AsPC2
_cell_length_a 3.0044
_cell_length_b 3.0044
_cell_length_c 23.6463
_cell_angle_alpha 90.00
_cell_angle_beta 90.00
_cell_angle_gamma 120.00
_symmetry_space_group_name_H-M 'R 3 m'
_symmetry_Int_Tables_number 160
_symmetry_space_group_name_Hall 'R 3 -2"'
loop_
_atom_site_label
_atom_site_fract_x
_atom_site_fract_y
_atom_site_fract_z
_atom_site_occupancy
As1 0.0000 0.0000 0.0000 1
P1 0.0000 0.0000 0.1430 1
C1 0.0000 0.0000 0.7082 1
C2 0.0000 0.0000 0.7733 1
# **ΔH_f (0 K)**: 564 meV per atom
# **Raw total energy**: -78.8 eV for the cell shown

=====

11.
# YCdN2O | Alexandria | PBE | relaxed
data_YCdN2O
_cell_length_a 4.5755
_cell_length_b 4.5755
_cell_length_c 4.3081
_cell_angle_alpha 90.00
_cell_angle_beta 90.00
_cell_angle_gamma 90.00
_symmetry_space_group_name_H-M 'P 4/m m m'
_symmetry_Int_Tables_number 123
_symmetry_space_group_name_Hall '-P 4 2'
loop_
_atom_site_label
_atom_site_fract_x
_atom_site_fract_y
_atom_site_fract_z
_atom_site_occupancy
Y1 0.0000 0.0000 0.0000 1
Cd1 0.5000 0.5000 0.5000 1
N1 0.0000 0.5000 0.0000 1
O1 0.0000 0.0000 0.5000 1
# **Raw total energy**: -27.3 eV for the cell shown
# **ΔE_f (raw)**: 0.329 eV per atom

=====

12.
# ReAgP2 | Alexandria | PBE | relaxed
data_ReAgP2
_cell_length_a 3.0688
_cell_length_b 3.0688
_cell_length_c 23.3078
_cell_angle_alpha 90.00
_cell_angle_beta 90.00
_cell_angle_gamma 120.00
_symmetry_space_group_name_H-M 'R -3 m'
_symmetry_Int_Tables_number 166
_symmetry_space_group_name_Hall '-R 3 2"'
loop_
_atom_site_label
_atom_site_fract_x
_atom_site_fract_y
_atom_site_fract_z
_atom_site_occupancy
Re1 0.0000 0.0000 0.0000 1
Ag1 0.0000 0.0000 0.5000 1
P1 0.0000 0.0000 0.2612 1
# **ΔH_f (0 K)**: 26 meV per atom
# **Raw total energy**: -78.0 eV for the cell shown

=====

Number 1: total moment 1.65 μB/f.u.. Number 2: total moment 0.00 μB/f.u.. Number 3: total moment 0.00 μB/f.u.. Number 4: total moment 3.39 μB/f.u.. Number 5: total moment 0.00 μB/f.u.. Number 6: total moment 0.00 μB/f.u.. Number 7: total moment 0.00 μB/f.u.. Number 8: total moment 0.00 μB/f.u.. Number 9: total moment 0.00 μB/f.u.. Number 10: total moment 0.00 μB/f.u.. Number 11: total moment 3.07 μB/f.u.. Number 12: total moment 0.00 μB/f.u..